(1)
Here is a relaxed structure of Ce2TlAs from Alexandria via LeMat-Bulk. Energies are from PBE.

Final energy: -0.20012 Ha/atom
Energy above the lowest structure with this stoichiometry: 0 meV/atom
Density: 7.79 g cm⁻³
Fermi-level density of states: 11.9 states/eV per cell
Energy of formation: -724.7 meV per atom

Cell: 8.4599 8.4599 8.4599 Å, 28.18 28.18 28.18°
With the nearest neighbours (Å) after each atom.
Fractional positions:
Ce 0.2375 0.2375 0.2375  3 As 2.94
Ce 0.7625 0.7625 0.7625  3 As 2.94
Tl 0.0000 0.0000 0.0000  6 Ce 3.33
As 0.5000 0.5000 0.5000  6 Ce 2.94

(2)
Here is a relaxed structure of Ce2TlAs from Alexandria via LeMat-Bulk. Energies are from PBE.

Final energy: -0.19890 Ha/atom
Energy above the lowest structure with this stoichiometry: 33 meV/atom
Density: 8.83 g cm⁻³
Fermi-level density of states: 11.3 states/eV per cell
Energy of formation: -691.5 meV per atom

Cell: 3.5918 3.5918 8.1592 Å, 90.00 90.00 90.00°
With the nearest neighbours (Å) after each atom.
Fractional positions:
Ce 0.0000 0.0000 0.2129  4 As 3.08
Ce 0.0000 0.0000 0.7871  4 As 3.08
Tl 0.5000 0.5000 0.5000  8 Ce 3.45, 4 Tl 3.59
As 0.5000 0.5000 0.0000  8 Ce 3.08

(3)
Here is a relaxed structure of Ce2TlAs from Alexandria via LeMat-Bulk. Energies are from PBE.

Final energy: -0.19893 Ha/atom
Energy above the lowest structure with this stoichiometry: 32 meV/atom
Density: 7.75 g cm⁻³
Fermi-level density of states: 11.3 states/eV per cell
Energy of formation: -692.3 meV per atom

Cell: 8.7627 8.7627 8.7627 Å, 26.72 26.72 26.72°
With the nearest neighbours (Å) after each atom.
Fractional positions:
Ce 0.0000 0.0000 0.0000  3 As 2.93
Ce 0.1950 0.1950 0.1950  3 As 2.91
Tl 0.7643 0.7643 0.7643  6 Ce 3.40
As 0.5968 0.5968 0.5968  6 Ce 2.91-2.93

(4)
Here is a relaxed structure of CeTlAs2 from Alexandria via LeMat-Bulk. Energies are from PBE.

Final energy: -0.18465 Ha/atom
Energy above the lowest structure with this stoichiometry: 0 meV/atom
Density: 8.95 g cm⁻³
Fermi-level density of states: 2.7 states/eV per cell
Energy of formation: -624.8 meV per atom

Cell: 4.8241 4.8241 3.9422 Å, 90.00 90.00 90.00°
With the nearest neighbours (Å) after each atom.
Fractional positions:
Ce 0.0000 0.0000 0.0000  8 As 3.12, 4 Tl 3.41
Tl 0.5000 0.5000 0.0000  8 As 3.12, 4 Ce 3.41
As 0.0000 0.5000 0.5000  4 Tl 3.12, 4 Ce 3.12, 4 As 3.41
As 0.5000 0.0000 0.5000  4 Tl 3.12, 4 Ce 3.12, 4 As 3.41

(5)
Here is a relaxed structure of CeTlAs from Alexandria via LeMat-Bulk. Energies are from PBE.

Final energy: -0.18140 Ha/atom
Density: 8.24 g cm⁻³
Fermi-level density of states: 14.4 states/eV per cell
Energy of formation: -619.5 meV per atom

Cell: 4.4180 5.9788 6.8244 Å, 97.44 108.85 90.03°
With the nearest neighbours (Å) after each atom.
Fractional positions:
Ce 0.1597 0.2189 0.3193  4 As 2.92-3.05
Ce 0.8403 0.7811 0.6807  4 As 2.92-3.05
Tl 0.4552 0.2460 0.9115  2 As 2.93-2.94, 1 Tl 3.10
Tl 0.5448 0.7540 0.0885  2 As 2.93-2.94, 1 Tl 3.10
As 0.1916 0.7231 0.3825  4 Ce 2.92-3.05, 2 Tl 2.93-2.94
As 0.8084 0.2769 0.6175  4 Ce 2.92-3.05, 2 Tl 2.93-2.94

(6)
Here is a relaxed structure of CeTlAs2 from Alexandria via LeMat-Bulk. Energies are from PBE.

Final energy: -0.18103 Ha/atom
Energy above the lowest structure with this stoichiometry: 98 meV/atom
Density: 7.34 g cm⁻³
Fermi-level density of states: 5.4 states/eV per cell
Energy of formation: -526.4 meV per atom

Cell: 7.1873 7.1873 7.1873 Å, 35.48 35.48 35.48°
With the nearest neighbours (Å) after each atom.
Fractional positions:
Ce 0.0000 0.0000 0.0000  6 As 2.88-2.95
Tl 0.8285 0.8285 0.8285  6 As 3.07-3.28
As 0.4088 0.4088 0.4088  3 Ce 2.95, 3 Tl 3.07
As 0.5985 0.5985 0.5985  3 Ce 2.88

Look up the final energy of the fourth one.
-0.18465 Ha/atom